Entry from Alexandria via LeMat-Bulk: an optimized crystal structure of Ac5Sn2HIr (PBE-GGA).

Geometry as POSCAR:
```
Ac5Sn2HIr
1.0
2.356 -9.635 0.000
2.356 9.635 0.000
0.000 0.000 13.246
Ac Sn H Ir
10 4 2 2
Cartesian
2.356 9.533 6.623 Ac
2.356 6.705 10.101 Ac
2.356 5.923 1.597 Ac
2.356 5.761 5.496 Ac
2.356 0.826 9.737 Ac
2.356 -0.826 3.114 Ac
2.356 -5.761 12.119 Ac
2.356 -5.923 8.220 Ac
2.356 -6.705 3.478 Ac
2.356 -9.533 0.000 Ac
2.356 2.359 1.038 Sn
2.356 2.223 5.965 Sn
2.356 -2.223 12.588 Sn
2.356 -2.359 7.661 Sn
2.356 8.439 2.071 H
2.356 -8.439 8.694 H
2.356 3.774 10.173 Ir
2.356 -3.774 3.550 Ir
```

Summary:
The value obtained for the total magnetic moment is 0.000 μB per atom. The total DFT energy (no corrections) is -5.126 eV/atom. The calculation puts the mass density at 8.65 g cm⁻³.